(1)
The following is a PBE calculation of a relaxed structure of Ho3Tm13, from OQMD via LeMat-Bulk.

The space group is Amm2 (No. 38) and the conventional cell measures 7.1110, 11.0227 and 12.3040 Å, with angles of 90.00, 90.00 and 90.00 degrees. The distinct sites, in fractional coordinates, are Ho at (0.0000, 0.0000, 0.0000), Ho at (0.2504, 0.0000, 0.2510), Tm at (0.0000, 0.0000, 0.5009), Tm at (0.0000, 0.2504, 0.3337), Tm at (0.2500, 0.0000, 0.7502), Tm at (0.2503, 0.2494, 0.5836), Tm at (0.5000, 0.0000, 0.0001), Tm at (0.5000, 0.0000, 0.5009) and Tm at (0.5000, 0.2491, 0.8337).

The value obtained for the spin magnetization is 0.09 μB per cell.

(2)
The following is a PBE calculation of a relaxed structure of HoTm, from OQMD via LeMat-Bulk.

The space group is Ama2 (No. 40) and the conventional cell measures 5.5327, 12.3549 and 7.1334 Å, with angles of 90.00, 90.00 and 90.00 degrees. The distinct sites, in fractional coordinates, are Ho at (0.2500, 0.0833, 0.0000), Ho at (0.2500, 0.3331, 0.7501), Tm at (0.2500, 0.0835, 0.5009) and Tm at (0.2500, 0.3335, 0.2507).

The value obtained for the spin magnetization is 0.18 μB per cell. The energy above the most stable polymorph in this dataset is 0 meV per atom.

(3)
The following is a PBE calculation of a relaxed structure of HoTm, from OQMD via LeMat-Bulk.

The space group is P-6m2 (No. 187) and the conventional cell measures 3.5540, 3.5540 and 5.5611 Å, with angles of 90.00, 90.00 and 120.00 degrees. The distinct sites, in fractional coordinates, are Ho at (0.0000, 0.0000, 0.0000) and Tm at (0.6667, 0.3333, 0.5000).

The value obtained for the spin magnetization is 0.01 μB per cell. The energy above the most stable polymorph in this dataset is 2 meV per atom.

(4)
The following is a PBE calculation of a relaxed structure of HoTm, from OQMD via LeMat-Bulk.

The space group is Amm2 (No. 38) and the conventional cell measures 5.5346, 7.1370 and 12.3610 Å, with angles of 90.00, 90.00 and 90.00 degrees. The distinct sites, in fractional coordinates, are Ho at (0.0000, 0.0000, 0.0000), Ho at (0.0000, 0.2495, 0.2499), Ho at (0.5000, 0.0000, 0.6665), Tm at (0.0000, 0.0000, 0.4997), Tm at (0.5000, 0.0000, 0.1668) and Tm at (0.5000, 0.2495, 0.4165).

The value obtained for the spin magnetization is 0.04 μB per cell. The energy above the most stable polymorph in this dataset is 0 meV per atom.

(5)
The following is a PBE calculation of a relaxed structure of HoTm, from OQMD via LeMat-Bulk.

The space group is F-43m (No. 216) and the conventional cell measures 7.1886, 7.1886 and 7.1886 Å, with angles of 90.00, 90.00 and 90.00 degrees. The distinct sites, in fractional coordinates, are Ho at (0.0000, 0.0000, 0.0000) and Tm at (0.2500, 0.2500, 0.7500).

The value obtained for the spin magnetization is 0.08 μB per cell. The energy above the most stable polymorph in this dataset is 1997 meV per atom.

(6)
The following is a PBE calculation of a relaxed structure of Ho5Tm3, from OQMD via LeMat-Bulk.

The space group is P-6m2 (No. 187) and the conventional cell measures 7.1489, 7.1489 and 5.5445 Å, with angles of 90.00, 90.00 and 120.00 degrees. The distinct sites, in fractional coordinates, are Ho at (0.0000, 0.0000, 0.0000), Ho at (0.0003, 0.5001, 0.0000), Ho at (0.6667, 0.3333, 0.5000) and Tm at (0.1669, 0.3338, 0.5000).

The value obtained for the spin magnetization is 0.11 μB per cell.

(7)
The following is a PBE calculation of a relaxed structure of Ho3Tm, from OQMD via LeMat-Bulk.

The space group is Amm2 (No. 38) and the conventional cell measures 5.5579, 7.1519 and 12.3872 Å, with angles of 90.00, 90.00 and 90.00 degrees. The distinct sites, in fractional coordinates, are Ho at (0.0000, 0.0000, 0.9998), Ho at (0.0000, 0.0000, 0.5000), Ho at (0.0000, 0.2504, 0.2495), Ho at (0.5000, 0.0000, 0.3329), Ho at (0.5000, 0.0000, 0.8327) and Tm at (0.5000, 0.2504, 0.0833).

The value obtained for the spin magnetization is 0.11 μB per cell.

(8)
The following is a PBE calculation of a relaxed structure of HoTm2, from OQMD via LeMat-Bulk.

The space group is Fd-3m (No. 227, origin choice 2) and the conventional cell measures 9.1324, 9.1324 and 9.1324 Å, with angles of 90.00, 90.00 and 90.00 degrees. The distinct sites, in fractional coordinates, are Ho at (0.1250, 0.1250, 0.1250) and Tm at (0.0000, 0.0000, 0.5000).

The value obtained for the spin magnetization is 0.41 μB per cell.

(9)
The following is a PBE calculation of a relaxed structure of HoTm, from OQMD via LeMat-Bulk.

The space group is Fm-3m (No. 225) and the conventional cell measures 6.4193, 6.4193 and 6.4193 Å, with angles of 90.00, 90.00 and 90.00 degrees. The distinct sites, in fractional coordinates, are Ho at (0.0000, 0.0000, 0.0000) and Tm at (0.0000, 0.0000, 0.5000).

The value obtained for the spin magnetization is 3.14 μB per cell. The energy above the most stable polymorph in this dataset is 820 meV per atom.

(10)
The following is a PBE calculation of a relaxed structure of HoTmU, from OQMD via LeMat-Bulk.

The space group is F-43m (No. 216) and the conventional cell measures 7.4509, 7.4509 and 7.4509 Å, with angles of 90.00, 90.00 and 90.00 degrees. The distinct sites, in fractional coordinates, are Ho at (0.0000, 0.0000, 0.0000), Tm at (0.2500, 0.2500, 0.2500) and U at (0.0000, 0.0000, 0.5000).

The value obtained for the spin magnetization is 14.68 μB per cell. The energy above the most stable polymorph in this dataset is 0 meV per atom.

(11)
The following is a PBE calculation of a relaxed structure of HoTmW, from OQMD via LeMat-Bulk.

The space group is F-43m (No. 216) and the conventional cell measures 6.8385, 6.8385 and 6.8385 Å, with angles of 90.00, 90.00 and 90.00 degrees. The distinct sites, in fractional coordinates, are Ho at (0.0000, 0.0000, 0.0000), Tm at (0.0000, 0.0000, 0.5000) and W at (0.2500, 0.2500, 0.2500).

The value obtained for the spin magnetization is 0.05 μB per cell. The energy above the most stable polymorph in this dataset is 0 meV per atom.

(12)
The following is a PBE calculation of a relaxed structure of YHo2Tm5, from OQMD via LeMat-Bulk.

The space group is Amm2 (No. 38) and the conventional cell measures 5.5396, 7.1701 and 12.4173 Å, with angles of 90.00, 90.00 and 90.00 degrees. The distinct sites, in fractional coordinates, are Y at (0.0000, 0.0000, 0.0000), Ho at (0.0000, 0.0000, 0.4996), Ho at (0.5000, 0.0000, 0.1680), Tm at (0.0000, 0.2499, 0.2502), Tm at (0.5000, 0.0000, 0.6671) and Tm at (0.5000, 0.2491, 0.4161).

The value obtained for the spin magnetization is 0.20 μB per cell.

no.,energy of formation (kJ/mol of atoms)
1,0.0
2,0.1
3,0.3
4,0.1
5,192.8
6,0.2
7,0.2
8,26.6
9,79.2
10,122.4
11,80.5
12,0.1